# HoZnW2O6 GGA+U optimized geometry
# electronic total energy: -7.1195 eV/atom
data_HoZnW2O6
_cell_length_a 5.849
_cell_length_b 5.501
_cell_length_c 7.855
_cell_angle_alpha 90.00
_cell_angle_beta 92.26
_cell_angle_gamma 90.00
_space_group_name_H-M_alt 'P 1 21 1'
_space_group_IT_number 4
loop_
_space_group_symop_operation_xyz
'x,y,z'
'-x,y+1/2,-z'
loop_
_atom_site_label
_atom_site_fract_x
_atom_site_fract_y
_atom_site_fract_z
Ho1 0.179 0.000 0.237
Zn1 0.197 0.990 0.774
W1 0.265 0.478 0.500
W2 0.268 0.468 0.004
O1 0.047 0.783 0.578
O2 0.052 0.782 0.942
O3 0.201 0.343 0.740
O4 0.275 0.611 0.260
O5 0.405 0.113 0.037
O6 0.436 0.152 0.429